# YHO, relaxed, DFT GGA-PBE
data_YHO
_cell_length_a 3.5817
_cell_length_b 3.5817
_cell_length_c 5.0765
_cell_angle_alpha 90.00
_cell_angle_beta 90.00
_cell_angle_gamma 120.00
_space_group_name_H-M_alt 'P 3 m 1'
_space_group_IT_number 156
loop_
_space_group_symop_operation_xyz
'x,y,z'
'-y,x-y,z'
'-x+y,-x,z'
'-y,-x,z'
'-x+y,y,z'
'x,x-y,z'
loop_
_atom_site_label
_atom_site_type_symbol
_atom_site_fract_x
_atom_site_fract_y
_atom_site_fract_z
Y1 Y 0.0000 0.0000 0.0000
H1 H 0.6667 0.3333 0.7703
O1 O 0.3333 0.6667 0.1364
# Calculated total energy, eV per formula unit: -20.70
# Total magnetization, μB/cell: 0.00
# Fermi-level density of states, states/eV/cell: 0.0